[1]
{
  "formula": "PuVCdO6",
  "functional": "PBE with a Hubbard U",
  "state": "relaxed",
  "lattice": [[5.3710, 0.0000, 0.0000], [-2.6855, 4.6514, 0.0000], [0.0000, 0.0000, 9.5788]],
  "species": ["Pu", "Pu", "V", "V", "Cd", "Cd", "O", "O", "O", "O", "O", "O", "O", "O", "O", "O", "O", "O"],
  "fractional_positions": [[0.3333, 0.6667, 0.2500], [0.6667, 0.3333, 0.7500], [0.6667, 0.3333, 0.2500], [0.3333, 0.6667, 0.7500], [0.0000, 0.0000, 0.0000], [0.0000, 0.0000, 0.5000], [0.6467, 0.6286, 0.1399], [0.9819, 0.3533, 0.1399], [0.3533, 0.9819, 0.6399], [0.0181, 0.6467, 0.8601], [0.3714, 0.3533, 0.3601], [0.9819, 0.6286, 0.3601], [0.6286, 0.9819, 0.8601], [0.6467, 0.0181, 0.3601], [0.0181, 0.3714, 0.6399], [0.3714, 0.0181, 0.1399], [0.6286, 0.6467, 0.6399], [0.3533, 0.3714, 0.8601]],
  "spacegroup": "P-31c, No. 163",
  "e_tot_ev_per_atom": -7.818,
  "total_magnetization_mub_per_fu": 3.00
}

[2]
{
  "formula": "PuCdWO6",
  "functional": "PBE with a Hubbard U",
  "state": "relaxed",
  "lattice": [[-1.3756, -4.2723, -3.3197], [-1.4209, -0.0896, 5.3980], [-8.1784, 4.2512, -2.0822]],
  "species": ["Pu", "Pu", "Cd", "Cd", "W", "W", "O", "O", "O", "O", "O", "O", "O", "O", "O", "O", "O", "O"],
  "fractional_positions": [[0.3333, 0.6667, 0.2500], [0.6667, 0.3333, 0.7500], [0.0000, 0.0000, 0.0000], [0.0000, 0.0000, 0.5000], [0.6667, 0.3333, 0.2500], [0.3333, 0.6667, 0.7500], [0.6570, 0.6228, 0.1366], [0.9658, 0.3430, 0.1366], [0.3430, 0.9658, 0.6366], [0.0342, 0.6570, 0.8634], [0.3772, 0.3430, 0.3634], [0.9658, 0.6228, 0.3634], [0.6228, 0.9658, 0.8634], [0.6570, 0.0342, 0.3634], [0.0342, 0.3772, 0.6366], [0.3772, 0.0342, 0.1366], [0.6228, 0.6570, 0.6366], [0.3430, 0.3772, 0.8634]],
  "spacegroup": "P-31c, No. 163",
  "e_tot_ev_per_atom": -7.891,
  "total_magnetization_mub_per_fu": 4.00
}